No. 1
Density functional theory data (PBEsol) for a geometry-optimized KMo2Au structure. Values from VASP.

The structure in Quantum ESPRESSO input format:
```
&SYSTEM
  ibrav = 0, nat = 4, ntyp = 3
/
ATOMIC_SPECIES
Mo 95.94 Mo.upf
Au 196.97 Au.upf
K 39.10 K.upf
ATOMIC_POSITIONS crystal
Mo 0.500 0.500 0.257
Mo 0.000 0.000 0.043
Au 0.000 0.000 0.464
K 0.500 0.500 0.736
CELL_PARAMETERS angstrom
2.703 0.000 0.000
0.000 2.703 0.000
0.000 0.000 10.236
```

Summary:
Calculated total energy, eV/atom: -6.48
Symmetry: P4mm, No. 99
ΔE to the lowest computed polymorph, eV per atom: 0.0000
Total magnetic moment, μB per cell: 0.00
E_form, meV per atom: 666

No. 2
Density functional theory data (PBEsol) for a geometry-optimized K3HSe2O8 structure. Values from VASP.

The structure in Quantum ESPRESSO input format:
```
&SYSTEM
  ibrav = 0, nat = 28, ntyp = 4
/
ATOMIC_SPECIES
K 39.10 K.upf
O 16.00 O.upf
H 1.01 H.upf
Se 78.96 Se.upf
ATOMIC_POSITIONS crystal
K 0.465 0.388 0.652
K 0.537 0.614 0.349
K 0.922 0.388 0.152
K 0.077 0.614 0.849
K 0.760 0.003 0.750
K 0.243 0.003 0.250
O 0.178 0.999 0.566
O 0.591 0.259 0.879
O 0.164 0.320 0.901
O 0.334 0.742 0.622
O 0.837 0.682 0.099
O 0.822 0.999 0.066
O 0.903 0.312 0.629
O 0.829 0.002 0.436
O 0.408 0.742 0.122
O 0.845 0.682 0.599
O 0.668 0.259 0.379
O 0.408 0.312 0.129
O 0.098 0.690 0.371
O 0.156 0.320 0.401
O 0.592 0.690 0.871
O 0.173 0.002 0.936
H 0.018 0.002 0.506
H 0.984 0.002 0.006
Se 0.344 0.231 0.961
Se 0.112 0.764 0.539
Se 0.888 0.231 0.461
Se 0.652 0.764 0.039
CELL_PARAMETERS angstrom
5.933 0.000 0.000
-2.966 7.488 -0.042
0.000 -2.410 9.796
```

Summary:
Calculated total energy, eV/atom: -5.30
Symmetry: Cc, No. 9
Total magnetic moment, μB per cell: 0.00

No. 3
Density functional theory data (PBEsol) for a geometry-optimized AlInBr2 structure. Values from VASP.

The structure in Quantum ESPRESSO input format:
```
&SYSTEM
  ibrav = 0, nat = 4, ntyp = 3
/
ATOMIC_SPECIES
In 114.82 In.upf
Al 26.98 Al.upf
Br 79.90 Br.upf
ATOMIC_POSITIONS crystal
In 0.000 0.000 0.000
Al 0.500 0.500 0.500
Br 0.244 0.244 0.269
Br 0.756 0.756 0.731
CELL_PARAMETERS angstrom
-3.903 0.039 -2.126
-0.111 -0.029 -4.443
-1.439 -7.289 -2.139
```

Summary:
Calculated total energy, eV/atom: -3.02
Symmetry: R-3m, No. 166
ΔE to the lowest computed polymorph, eV per atom: 0.0000
Raw formation energy, eV per atom: -0.314
Total magnetic moment, μB per cell: 0.00

No. 4
Density functional theory data (PBEsol) for a geometry-optimized Sc2NbSi2 structure. Values from VASP.

The structure in Quantum ESPRESSO input format:
```
&SYSTEM
  ibrav = 0, nat = 5, ntyp = 3
/
ATOMIC_SPECIES
Nb 92.91 Nb.upf
Sc 44.96 Sc.upf
Si 28.09 Si.upf
ATOMIC_POSITIONS crystal
Nb 0.000 0.000 0.000
Sc 0.615 0.615 0.229
Sc 0.385 0.385 0.771
Si 0.750 0.250 0.500
Si 0.250 0.750 0.500
CELL_PARAMETERS angstrom
-0.601 -3.233 0.605
0.360 -0.676 -3.255
8.434 0.631 2.520
```

Summary:
Calculated total energy, eV/atom: -7.10
Symmetry: I4/mmm, No. 139
ΔE to the lowest computed polymorph, eV per atom: 0.7444
Raw formation energy, eV per atom: 0.009
Total magnetic moment, μB per cell: 0.00

No. 5
Density functional theory data (PBEsol) for a geometry-optimized EuAg2 structure. Values from VASP.

The structure in Quantum ESPRESSO input format:
```
&SYSTEM
  ibrav = 0, nat = 6, ntyp = 2
/
ATOMIC_SPECIES
Eu 151.96 Eu.upf
Ag 107.87 Ag.upf
ATOMIC_POSITIONS crystal
Eu 0.544 0.706 0.206
Eu 0.456 0.294 0.794
Ag 0.837 0.112 0.214
Ag 0.163 0.286 0.388
Ag 0.163 0.888 0.786
Ag 0.837 0.714 0.612
CELL_PARAMETERS angstrom
4.695 0.000 0.000
2.348 5.426 0.041
2.348 0.591 5.394
```

Summary:
Calculated total energy, eV/atom: -6.02
Symmetry: Imma, No. 74
Total magnetic moment, μB per cell: 14.21
E_form, meV per atom: -287

No. 6
Density functional theory data (PBEsol) for a geometry-optimized YZn2Ir structure. Values from VASP.

The structure in Quantum ESPRESSO input format:
```
&SYSTEM
  ibrav = 0, nat = 4, ntyp = 3
/
ATOMIC_SPECIES
Zn 65.41 Zn.upf
Ir 192.22 Ir.upf
Y 88.91 Y.upf
ATOMIC_POSITIONS crystal
Zn 0.000 0.000 0.796
Zn 0.000 0.000 0.204
Ir 0.500 0.500 0.000
Y 0.500 0.500 0.500
CELL_PARAMETERS angstrom
-0.324 -2.326 1.812
3.465 -1.233 -0.963
2.353 3.138 4.449
```

Summary:
Calculated total energy, eV/atom: -5.23
Symmetry: Pmmm, No. 47
Total magnetic moment, μB per cell: 0.00
E_form, meV per atom: -273

No. 7
Density functional theory data (PBEsol) for a geometry-optimized YTa2NbTc structure. Values from VASP.

The structure in Quantum ESPRESSO input format:
```
&SYSTEM
  ibrav = 0, nat = 5, ntyp = 4
/
ATOMIC_SPECIES
Ta 180.95 Ta.upf
Nb 92.91 Nb.upf
Tc 98.00 Tc.upf
Y 88.91 Y.upf
ATOMIC_POSITIONS crystal
Ta 0.000 0.500 0.000
Ta 0.500 0.000 0.000
Nb 0.000 0.000 0.500
Tc 0.000 0.000 0.000
Y 0.500 0.500 0.500
CELL_PARAMETERS angstrom
4.807 0.000 0.000
0.000 4.807 0.000
0.000 0.000 4.844
```

Summary:
Calculated total energy, eV/atom: -9.99
Symmetry: P4/mmm, No. 123
Total magnetic moment, μB per cell: 0.00
E_form, meV per atom: 810

No. 8
Density functional theory data (PBEsol) for a geometry-optimized Nd3Si2ClO8 structure. Values from VASP.

The structure in Quantum ESPRESSO input format:
```
&SYSTEM
  ibrav = 0, nat = 56, ntyp = 4
/
ATOMIC_SPECIES
O 16.00 O.upf
Cl 35.45 Cl.upf
Nd 144.24 Nd.upf
Si 28.09 Si.upf
ATOMIC_POSITIONS crystal
O 0.529 0.156 0.619
O 0.952 0.299 0.904
O 0.715 0.515 0.469
O 0.452 0.201 0.404
O 0.715 0.515 0.031
O 0.452 0.201 0.096
O 0.785 0.015 0.031
O 0.971 0.656 0.881
O 0.721 0.541 0.326
O 0.471 0.844 0.119
O 0.952 0.299 0.596
O 0.048 0.701 0.096
O 0.285 0.485 0.531
O 0.721 0.541 0.174
O 0.029 0.344 0.381
O 0.279 0.459 0.826
O 0.215 0.985 0.969
O 0.215 0.985 0.531
O 0.471 0.844 0.381
O 0.779 0.041 0.174
O 0.279 0.459 0.674
O 0.779 0.041 0.326
O 0.548 0.799 0.596
O 0.048 0.701 0.404
O 0.029 0.344 0.119
O 0.221 0.959 0.674
O 0.548 0.799 0.904
O 0.971 0.656 0.619
O 0.529 0.156 0.881
O 0.785 0.015 0.469
O 0.285 0.485 0.969
O 0.221 0.959 0.826
Cl 0.755 0.941 0.750
Cl 0.245 0.059 0.250
Cl 0.745 0.441 0.750
Cl 0.255 0.559 0.250
Nd 0.626 0.479 0.592
Nd 0.384 0.196 0.750
Nd 0.874 0.979 0.908
Nd 0.884 0.304 0.250
Nd 0.374 0.521 0.408
Nd 0.616 0.804 0.250
Nd 0.126 0.021 0.092
Nd 0.874 0.979 0.592
Nd 0.626 0.479 0.908
Nd 0.374 0.521 0.092
Nd 0.116 0.696 0.750
Nd 0.126 0.021 0.408
Si 0.378 0.970 0.900
Si 0.878 0.530 0.100
Si 0.378 0.970 0.600
Si 0.122 0.470 0.600
Si 0.878 0.530 0.400
Si 0.622 0.030 0.100
Si 0.622 0.030 0.400
Si 0.122 0.470 0.900
CELL_PARAMETERS angstrom
6.294 0.000 0.000
0.000 7.102 0.000
0.000 0.000 18.117
```

Summary:
Calculated total energy, eV/atom: -8.26
Symmetry: Pnma, No. 62
ΔE to the lowest computed polymorph, eV per atom: 0.0000
Raw formation energy, eV per atom: -3.193
Total magnetic moment, μB per cell: 0.00

No. 9
Density functional theory data (PBEsol) for a geometry-optimized AlAu structure. Values from VASP.

The structure in Quantum ESPRESSO input format:
```
&SYSTEM
  ibrav = 0, nat = 4, ntyp = 2
/
ATOMIC_SPECIES
Al 26.98 Al.upf
Au 196.97 Au.upf
ATOMIC_POSITIONS crystal
Al 0.346 0.250 0.693
Al 0.654 0.750 0.307
Au 0.905 0.750 0.811
Au 0.095 0.250 0.189
CELL_PARAMETERS angstrom
3.168 0.000 0.000
0.000 4.107 0.000
-1.584 0.000 5.098
```

Summary:
Calculated total energy, eV/atom: -4.42
Symmetry: Cmcm, No. 63
Total magnetic moment, μB per cell: 0.00
E_form, meV per atom: -408

No. 10
Density functional theory data (PBEsol) for a geometry-optimized GdSi2Pd2 structure. Values from VASP.

The structure in Quantum ESPRESSO input format:
```
&SYSTEM
  ibrav = 0, nat = 5, ntyp = 3
/
ATOMIC_SPECIES
Gd 157.25 Gd.upf
Pd 106.42 Pd.upf
Si 28.09 Si.upf
ATOMIC_POSITIONS crystal
Gd 0.000 0.000 0.000
Pd 0.250 0.750 0.500
Pd 0.750 0.250 0.500
Si 0.617 0.617 0.234
Si 0.383 0.383 0.766
CELL_PARAMETERS angstrom
-1.663 0.007 3.755
1.807 -3.599 0.807
3.908 4.188 -0.523
```

Summary:
Calculated total energy, eV/atom: -8.58
Symmetry: I4/mmm, No. 139
Raw formation energy, eV per atom: -1.005
Total magnetic moment, μB per cell: 7.06

No. 11
Density functional theory data (PBEsol) for a geometry-optimized Y3TaSi structure. Values from VASP.

The structure in Quantum ESPRESSO input format:
```
&SYSTEM
  ibrav = 0, nat = 5, ntyp = 3
/
ATOMIC_SPECIES
Ta 180.95 Ta.upf
Y 88.91 Y.upf
Si 28.09 Si.upf
ATOMIC_POSITIONS crystal
Ta 0.500 0.500 0.500
Y 0.000 0.500 0.000
Y 0.500 0.000 0.000
Y 0.000 0.000 0.500
Si 0.000 0.000 0.000
CELL_PARAMETERS angstrom
5.261 0.000 0.000
0.000 5.261 0.000
0.000 0.000 5.261
```

Summary:
Calculated total energy, eV/atom: -7.12
Symmetry: Pm-3m, No. 221
ΔE to the lowest computed polymorph, eV per atom: 0.0000
Raw formation energy, eV per atom: 0.629
Total magnetic moment, μB per cell: 3.96

No. 12
Density functional theory data (PBEsol) for a geometry-optimized Sn2IrF structure. Values from VASP.

The structure in Quantum ESPRESSO input format:
```
&SYSTEM
  ibrav = 0, nat = 4, ntyp = 3
/
ATOMIC_SPECIES
F 19.00 F.upf
Sn 118.71 Sn.upf
Ir 192.22 Ir.upf
ATOMIC_POSITIONS crystal
F 0.000 0.000 0.000
Sn 0.750 0.750 0.750
Sn 0.250 0.250 0.250
Ir 0.500 0.500 0.500
CELL_PARAMETERS angstrom
4.554 0.000 0.000
2.277 3.944 0.000
2.277 1.315 3.718
```

Summary:
Calculated total energy, eV/atom: -5.70
Symmetry: Fm-3m, No. 225
Raw formation energy, eV per atom: -0.635
Total magnetic moment, μB per cell: 0.00

No. 13
Density functional theory data (PBEsol) for a geometry-optimized AcSnAu2 structure. Values from VASP.

The structure in Quantum ESPRESSO input format:
```
&SYSTEM
  ibrav = 0, nat = 4, ntyp = 3
/
ATOMIC_SPECIES
Au 196.97 Au.upf
Sn 118.71 Sn.upf
Ac 227.00 Ac.upf
ATOMIC_POSITIONS crystal
Au 0.750 0.750 0.750
Au 0.250 0.250 0.250
Sn 0.000 0.000 0.000
Ac 0.500 0.500 0.500
CELL_PARAMETERS angstrom
5.149 0.000 0.000
2.575 4.460 0.000
2.575 1.487 4.204
```

Summary:
Calculated total energy, eV/atom: -4.82
Symmetry: Fm-3m, No. 225
Total magnetic moment, μB per cell: 0.00
E_form, meV per atom: -665

No. 14
Density functional theory data (PBEsol) for a geometry-optimized Mg3CdBi structure. Values from VASP.

The structure in Quantum ESPRESSO input format:
```
&SYSTEM
  ibrav = 0, nat = 5, ntyp = 3
/
ATOMIC_SPECIES
Mg 24.30 Mg.upf
Cd 112.41 Cd.upf
Bi 208.98 Bi.upf
ATOMIC_POSITIONS crystal
Mg 0.000 0.000 0.500
Mg 0.500 0.000 0.000
Mg 0.000 0.500 0.000
Cd 0.500 0.500 0.500
Bi 0.000 0.000 0.000
CELL_PARAMETERS angstrom
-0.696 -2.529 4.844
5.027 -2.212 -0.432
2.143 4.366 2.587
```

Summary:
Calculated total energy, eV/atom: -1.70
Symmetry: Pm-3m, No. 221
Total magnetic moment, μB per cell: 0.00
E_form, meV per atom: 426

No. 15
Density functional theory data (PBEsol) for a geometry-optimized TlCd3Se structure. Values from VASP.

The structure in Quantum ESPRESSO input format:
```
&SYSTEM
  ibrav = 0, nat = 5, ntyp = 3
/
ATOMIC_SPECIES
Cd 112.41 Cd.upf
Se 78.96 Se.upf
Tl 204.38 Tl.upf
ATOMIC_POSITIONS crystal
Cd 0.000 0.500 0.000
Cd 0.500 0.000 0.000
Cd 0.000 0.000 0.500
Se 0.500 0.500 0.500
Tl 0.000 0.000 0.000
CELL_PARAMETERS angstrom
-2.018 4.453 2.122
-4.304 -2.710 1.594
2.411 -1.110 4.622
```

Summary:
Calculated total energy, eV/atom: -1.49
Symmetry: Pm-3m, No. 221
Raw formation energy, eV per atom: 0.521
Total magnetic moment, μB per cell: 0.05

No. 16
Density functional theory data (PBEsol) for a geometry-optimized NbH2F structure. Values from VASP.

The structure in Quantum ESPRESSO input format:
```
&SYSTEM
  ibrav = 0, nat = 8, ntyp = 3
/
ATOMIC_SPECIES
H 1.01 H.upf
Nb 92.91 Nb.upf
F 19.00 F.upf
ATOMIC_POSITIONS crystal
H 0.066 0.059 0.559
H 0.684 0.941 0.441
H 0.875 0.441 0.059
H 0.375 0.559 0.941
Nb 0.750 0.500 0.500
Nb 0.000 0.000 0.000
F 0.500 0.000 0.000
F 0.250 0.500 0.500
CELL_PARAMETERS angstrom
-3.308 -2.513 -0.643
0.552 -3.489 -2.948
-0.426 -3.661 2.754
```

Summary:
Calculated total energy, eV/atom: -5.52
Symmetry: I-42d, No. 122
Total magnetic moment, μB per cell: 0.00

No. 17
Density functional theory data (PBEsol) for a geometry-optimized LaSc2 structure. Values from VASP.

The structure in Quantum ESPRESSO input format:
```
&SYSTEM
  ibrav = 0, nat = 6, ntyp = 2
/
ATOMIC_SPECIES
Sc 44.96 Sc.upf
La 138.91 La.upf
ATOMIC_POSITIONS crystal
Sc 0.246 0.750 0.492
Sc 0.588 0.750 0.177
Sc 0.754 0.250 0.508
Sc 0.412 0.250 0.823
La 0.084 0.250 0.167
La 0.916 0.750 0.833
CELL_PARAMETERS angstrom
-1.060 -1.833 -3.955
4.415 1.268 -1.770
3.252 -5.458 4.203
```

Summary:
Calculated total energy, eV/atom: -6.10
Symmetry: Cmcm, No. 63
ΔE to the lowest computed polymorph, eV per atom: 0.0263
Total magnetic moment, μB per cell: 0.00
E_form, meV per atom: 83

No. 18
Density functional theory data (PBEsol) for a geometry-optimized LiAg2Rh structure. Values from VASP.

The structure in Quantum ESPRESSO input format:
```
&SYSTEM
  ibrav = 0, nat = 4, ntyp = 3
/
ATOMIC_SPECIES
Rh 102.91 Rh.upf
Ag 107.87 Ag.upf
Li 6.94 Li.upf
ATOMIC_POSITIONS crystal
Rh 0.000 0.000 0.000
Ag 0.249 0.249 0.254
Ag 0.751 0.751 0.746
Li 0.500 0.500 0.500
CELL_PARAMETERS angstrom
2.760 0.000 0.000
1.380 2.390 0.000
1.380 0.797 9.107
```

Summary:
Calculated total energy, eV/atom: -4.14
Symmetry: R-3m, No. 166
Total magnetic moment, μB per cell: 0.00
E_form, meV per atom: 44

No. 19
Density functional theory data (PBEsol) for a geometry-optimized CsNa3Ge structure. Values from VASP.

The structure in Quantum ESPRESSO input format:
```
&SYSTEM
  ibrav = 0, nat = 5, ntyp = 3
/
ATOMIC_SPECIES
Cs 132.91 Cs.upf
Ge 72.64 Ge.upf
Na 22.99 Na.upf
ATOMIC_POSITIONS crystal
Cs 0.500 0.500 0.500
Ge 0.000 0.000 0.000
Na 0.500 0.000 0.000
Na 0.000 0.000 0.500
Na 0.000 0.500 0.000
CELL_PARAMETERS angstrom
5.775 0.000 0.000
0.000 5.775 0.000
0.000 0.000 5.775
```

Summary:
Calculated total energy, eV/atom: -2.04
Symmetry: Pm-3m, No. 221
Total magnetic moment, μB per cell: 0.00
E_form, meV per atom: -21

No. 20
Density functional theory data (PBEsol) for a geometry-optimized Zr2ZnRe structure. Values from VASP.

The structure in Quantum ESPRESSO input format:
```
&SYSTEM
  ibrav = 0, nat = 4, ntyp = 3
/
ATOMIC_SPECIES
Zr 91.22 Zr.upf
Re 186.21 Re.upf
Zn 65.41 Zn.upf
ATOMIC_POSITIONS crystal
Zr 0.000 0.500 0.000
Zr 0.000 0.000 0.500
Re 0.500 0.500 0.500
Zn 0.500 0.000 0.000
CELL_PARAMETERS angstrom
-1.248 -2.851 1.209
2.061 0.801 4.018
-3.721 2.249 1.460
```

Summary:
Calculated total energy, eV/atom: -8.54
Symmetry: P4/mmm, No. 123
Total magnetic moment, μB per cell: 0.00
E_form, meV per atom: -271